1.
Density functional theory data (PBE) for a relaxed structure of TbTm3Zn4.

total magnetization: 0.0 μB/f.u.
VASP energy: -3.2403 eV per atom
ΔH_f (0 K): -0.35 eV/atom
mass density: 8697 kg/m3

abc: 4.987 4.987 7.118
angles: 90.00 90.00 90.00
Space group P4/mmm (No. 123)
Inequivalent atoms, fractional coordinates:
Tb  0.000  0.000  0.000
Tm  0.000  0.000  0.500
Tm  0.500  0.500  0.000
Tm  0.500  0.500  0.500
Zn  0.000  0.500  0.255



2.
Density functional theory data (PBE) for a relaxed structure of ZnPt2Rh.

total magnetization: 1.0 μB/f.u.
VASP energy: -5.3777 eV per atom
ΔH_f (0 K): -0.20 eV/atom
mass density: 15573 kg/m3

abc: 2.7798 2.7798 26.6972
angles: 90.00 90.00 120.00
Space group R3m (No. 160, hexagonal axes)
Inequivalent atoms, fractional coordinates:
Zn  0.0000  0.0000  0.0000
Pt  0.0000  0.0000  0.2532
Pt  0.0000  0.0000  0.4966
Rh  0.0000  0.0000  0.7449



3.
Density functional theory data (PBE) for a relaxed structure of GeMoSe2.

total magnetization: 0.0 μB/f.u.
VASP energy: -5.0555 eV per atom
mass density: 6270 kg/m3
ΔE_f (raw): 0.549 eV/atom

abc: 3.4956 3.4956 24.5126
angles: 90.00 90.00 120.00
Space group R-3m (No. 166, hexagonal axes)
Inequivalent atoms, fractional coordinates:
Ge  0.0000  0.0000  0.0000
Mo  0.0000  0.0000  0.5000
Se  0.0000  0.0000  0.4018



Question: Which of these has the highest mass density?
Answer: ZnPt2Rh